Entry 1:
# PBE Ca2YTa, relaxed
data_Ca2YTa
_space_group_name_H-M_alt 'P 4/m m m'
_space_group_IT_number 123
_space_group_name_Hall '-P 4 2'
_cell_length_a 4.031
_cell_length_b 4.031
_cell_length_c 7.277
_cell_angle_alpha 90.00
_cell_angle_beta 90.00
_cell_angle_gamma 90.00
loop_
_atom_site_label
_atom_site_fract_x
_atom_site_fract_y
_atom_site_fract_z
Ca1 0.000 0.000 0.221
Y1 0.500 0.500 0.500
Ta1 0.500 0.500 0.000
# **Energy above the lowest structure with this stoichiometry**: 0.365 eV per atom
# **Volume**: 29.566 Å³ per atom

=====

Entry 2:
# PBE Ca2YTa, relaxed
data_Ca2YTa
_space_group_name_H-M_alt 'C m m m'
_space_group_IT_number 65
_space_group_name_Hall '-C 2 2'
_cell_length_a 4.564
_cell_length_b 4.588
_cell_length_c 11.068
_cell_angle_alpha 90.00
_cell_angle_beta 90.00
_cell_angle_gamma 90.00
loop_
_atom_site_label
_atom_site_fract_x
_atom_site_fract_y
_atom_site_fract_z
Ca1 0.000 0.000 0.217
Y1 0.000 0.500 0.500
Ta1 0.000 0.500 0.000
# **Energy above the lowest structure with this stoichiometry**: 0.186 eV per atom
# **Volume**: 28.970 Å³ per atom

=====

Entry 3:
# PBE Ca2YTa, relaxed
data_Ca2YTa
_space_group_name_H-M_alt 'R -3 m'
_space_group_IT_number 166
_space_group_name_Hall '-R 3 2"'
_cell_length_a 3.3513
_cell_length_b 3.3513
_cell_length_c 35.5156
_cell_angle_alpha 90.00
_cell_angle_beta 90.00
_cell_angle_gamma 120.00
loop_
_atom_site_label
_atom_site_fract_x
_atom_site_fract_y
_atom_site_fract_z
Ca1 0.0000 0.0000 0.2403
Y1 0.0000 0.0000 0.0000
Ta1 0.0000 0.0000 0.5000
# **Energy above the lowest structure with this stoichiometry**: 0.167 eV per atom
# **Volume**: 28.786 Å³ per atom

=====

Entry 4:
# PBE CaYTa3, relaxed
data_CaYTa3
_space_group_name_H-M_alt 'P m -3 m'
_space_group_IT_number 221
_space_group_name_Hall '-P 4 2 3'
_cell_length_a 4.894
_cell_length_b 4.894
_cell_length_c 4.894
_cell_angle_alpha 90.00
_cell_angle_beta 90.00
_cell_angle_gamma 90.00
loop_
_atom_site_label
_atom_site_fract_x
_atom_site_fract_y
_atom_site_fract_z
Ca1 0.000 0.000 0.000
Y1 0.500 0.500 0.500
Ta1 0.000 0.000 0.500
# **Energy above the lowest structure with this stoichiometry**: 0.101 eV per atom
# **Volume**: 23.450 Å³ per atom

=====

Entry 5:
# PBE Ca2YTa, relaxed
data_Ca2YTa
_space_group_name_H-M_alt 'I -4 2 d'
_space_group_IT_number 122
_space_group_name_Hall 'I -4 2bw'
_cell_length_a 4.535
_cell_length_b 4.535
_cell_length_c 23.719
_cell_angle_alpha 90.00
_cell_angle_beta 90.00
_cell_angle_gamma 90.00
loop_
_atom_site_label
_atom_site_fract_x
_atom_site_fract_y
_atom_site_fract_z
Ca1 0.236 0.250 0.125
Y1 0.000 0.000 0.500
Ta1 0.000 0.000 0.000
# **Energy above the lowest structure with this stoichiometry**: 0.527 eV per atom
# **Volume**: 30.485 Å³ per atom

=====

Entry 6:
# PBE Ca2YTa, relaxed
data_Ca2YTa
_space_group_name_H-M_alt 'P m m 2'
_space_group_IT_number 25
_space_group_name_Hall 'P 2 -2'
_cell_length_a 3.426
_cell_length_b 4.355
_cell_length_c 8.231
_cell_angle_alpha 90.00
_cell_angle_beta 90.00
_cell_angle_gamma 90.00
loop_
_atom_site_label
_atom_site_fract_x
_atom_site_fract_y
_atom_site_fract_z
Ca1 0.000 0.000 0.000
Ca2 0.500 0.500 0.324
Y1 0.000 0.000 0.595
Ta1 0.500 0.500 0.760
# **Energy above the lowest structure with this stoichiometry**: 0.076 eV per atom
# **Volume**: 30.699 Å³ per atom

=====

Entry 7:
# PBE CaYTa4, relaxed
data_CaYTa4
_space_group_name_H-M_alt 'F -4 3 m'
_space_group_IT_number 216
_space_group_name_Hall 'F -4 2 3'
_cell_length_a 8.178
_cell_length_b 8.178
_cell_length_c 8.178
_cell_angle_alpha 90.00
_cell_angle_beta 90.00
_cell_angle_gamma 90.00
loop_
_atom_site_label
_atom_site_fract_x
_atom_site_fract_y
_atom_site_fract_z
Ca1 0.000 0.000 0.000
Y1 0.250 0.250 0.250
Ta1 0.124 0.124 0.624
# **Volume**: 22.791 Å³ per atom

=====

Entry 8:
# PBE Ca2YTaZn, relaxed
data_Ca2YTaZn
_space_group_name_H-M_alt 'P 4/m m m'
_space_group_IT_number 123
_space_group_name_Hall '-P 4 2'
_cell_length_a 5.379
_cell_length_b 5.379
_cell_length_c 5.182
_cell_angle_alpha 90.00
_cell_angle_beta 90.00
_cell_angle_gamma 90.00
loop_
_atom_site_label
_atom_site_fract_x
_atom_site_fract_y
_atom_site_fract_z
Ca1 0.000 0.500 0.000
Y1 0.000 0.000 0.500
Ta1 0.500 0.500 0.500
Zn1 0.500 0.500 0.000
# **Volume**: 29.989 Å³ per atom

=====

Entry 9:
# PBE CaY2ZrTa, relaxed
data_CaY2ZrTa
_space_group_name_H-M_alt 'P 4/m m m'
_space_group_IT_number 123
_space_group_name_Hall '-P 4 2'
_cell_length_a 5.371
_cell_length_b 5.371
_cell_length_c 5.409
_cell_angle_alpha 90.00
_cell_angle_beta 90.00
_cell_angle_gamma 90.00
loop_
_atom_site_label
_atom_site_fract_x
_atom_site_fract_y
_atom_site_fract_z
Ca1 0.000 0.000 0.000
Y1 0.000 0.500 0.500
Zr1 0.000 0.000 0.500
Ta1 0.500 0.500 0.000
# **Volume**: 31.211 Å³ per atom

=====

Entry 10:
# PBE CaTa2Zn, relaxed
data_CaTa2Zn
_space_group_name_H-M_alt 'I -4 2 d'
_space_group_IT_number 122
_space_group_name_Hall 'I -4 2bw'
_cell_length_a 3.980
_cell_length_b 3.980
_cell_length_c 21.352
_cell_angle_alpha 90.00
_cell_angle_beta 90.00
_cell_angle_gamma 90.00
loop_
_atom_site_label
_atom_site_fract_x
_atom_site_fract_y
_atom_site_fract_z
Ca1 0.000 0.000 0.000
Ta1 0.237 0.250 0.625
Zn1 0.000 0.000 0.500
# **Volume**: 21.134 Å³ per atom

=====

Entry 11:
# PBE CaTaZn2, relaxed
data_CaTaZn2
_space_group_name_H-M_alt 'C 1 2/m 1'
_space_group_IT_number 12
_space_group_name_Hall '-C 2y'
_cell_length_a 8.994
_cell_length_b 2.957
_cell_length_c 6.277
_cell_angle_alpha 90.00
_cell_angle_beta 96.91
_cell_angle_gamma 90.00
loop_
_atom_site_label
_atom_site_fract_x
_atom_site_fract_y
_atom_site_fract_z
Ca1 0.000 0.000 0.000
Ta1 0.000 0.500 0.500
Zn1 0.245 0.000 0.694
# **Volume**: 20.714 Å³ per atom

=====

Entry 12:
# PBE CaTaZn, relaxed
data_CaTaZn
_space_group_name_H-M_alt 'I 4 m m'
_space_group_IT_number 107
_space_group_name_Hall 'I 4 -2'
_cell_length_a 3.069
_cell_length_b 3.069
_cell_length_c 13.246
_cell_angle_alpha 90.00
_cell_angle_beta 90.00
_cell_angle_gamma 90.00
loop_
_atom_site_label
_atom_site_fract_x
_atom_site_fract_y
_atom_site_fract_z
Ca1 0.000 0.000 0.000
Ta1 0.000 0.000 0.306
Zn1 0.000 0.000 0.674
# **Energy above the lowest structure with this stoichiometry**: 0.000 eV per atom
# **Volume**: 20.797 Å³ per atom

=====

Entry 13:
# PBE CaTa2Zn, relaxed
data_CaTa2Zn
_space_group_name_H-M_alt 'P 4/m m m'
_space_group_IT_number 123
_space_group_name_Hall '-P 4 2'
_cell_length_a 2.903
_cell_length_b 2.903
_cell_length_c 9.405
_cell_angle_alpha 90.00
_cell_angle_beta 90.00
_cell_angle_gamma 90.00
loop_
_atom_site_label
_atom_site_fract_x
_atom_site_fract_y
_atom_site_fract_z
Ca1 0.000 0.000 0.000
Ta1 0.500 0.500 0.296
Zn1 0.000 0.000 0.500
# **Volume**: 19.813 Å³ per atom

=====

Entry 14:
# PBE CaTa2Zn, relaxed
data_CaTa2Zn
_space_group_name_H-M_alt 'C m m m'
_space_group_IT_number 65
_space_group_name_Hall '-C 2 2'
_cell_length_a 5.718
_cell_length_b 9.965
_cell_length_c 2.791
_cell_angle_alpha 90.00
_cell_angle_beta 90.00
_cell_angle_gamma 90.00
loop_
_atom_site_label
_atom_site_fract_x
_atom_site_fract_y
_atom_site_fract_z
Ca1 0.000 0.000 0.000
Ta1 0.250 0.250 0.500
Zn1 0.000 0.500 0.000
# **Volume**: 19.878 Å³ per atom

=====

Entry 15:
# PBE CaTa2Zn, relaxed
data_CaTa2Zn
_space_group_name_H-M_alt 'P 4/m m m'
_space_group_IT_number 123
_space_group_name_Hall '-P 4 2'
_cell_length_a 5.081
_cell_length_b 5.081
_cell_length_c 3.009
_cell_angle_alpha 90.00
_cell_angle_beta 90.00
_cell_angle_gamma 90.00
loop_
_atom_site_label
_atom_site_fract_x
_atom_site_fract_y
_atom_site_fract_z
Ca1 0.000 0.000 0.000
Ta1 0.000 0.500 0.500
Zn1 0.500 0.500 0.000
# **Volume**: 19.421 Å³ per atom

=====

Entry 16:
# PBE CaTa2Zn, relaxed
data_CaTa2Zn
_space_group_name_H-M_alt 'P 1 m 1'
_space_group_IT_number 6
_space_group_name_Hall 'P -2y'
_cell_length_a 3.010
_cell_length_b 3.735
_cell_length_c 7.462
_cell_angle_alpha 90.00
_cell_angle_beta 90.08
_cell_angle_gamma 90.00
loop_
_atom_site_label
_atom_site_fract_x
_atom_site_fract_y
_atom_site_fract_z
Ca1 0.000 0.000 0.000
Ta1 0.000 0.000 0.527
Ta2 0.499 0.500 0.324
Zn1 0.500 0.500 0.726
# **Volume**: 20.973 Å³ per atom

=====

Entry 17:
# PBE CaTa2Zn, relaxed
data_CaTa2Zn
_space_group_name_H-M_alt 'P 4 m m'
_space_group_IT_number 99
_space_group_name_Hall 'P 4 -2'
_cell_length_a 2.888
_cell_length_b 2.888
_cell_length_c 9.496
_cell_angle_alpha 90.00
_cell_angle_beta 90.00
_cell_angle_gamma 90.00
loop_
_atom_site_label
_atom_site_fract_x
_atom_site_fract_y
_atom_site_fract_z
Ca1 0.000 0.000 0.000
Ta1 0.000 0.000 0.535
Ta2 0.500 0.500 0.299
Zn1 0.500 0.500 0.751
# **Volume**: 19.797 Å³ per atom

=====

Entry 18:
# PBE CaTa3Zn, relaxed
data_CaTa3Zn
_space_group_name_H-M_alt 'P m -3 m'
_space_group_IT_number 221
_space_group_name_Hall '-P 4 2 3'
_cell_length_a 4.739
_cell_length_b 4.739
_cell_length_c 4.739
_cell_angle_alpha 90.00
_cell_angle_beta 90.00
_cell_angle_gamma 90.00
loop_
_atom_site_label
_atom_site_fract_x
_atom_site_fract_y
_atom_site_fract_z
Ca1 0.000 0.000 0.000
Ta1 0.000 0.000 0.500
Zn1 0.500 0.500 0.500
# **Energy above the lowest structure with this stoichiometry**: 1.296 eV per atom
# **Volume**: 21.281 Å³ per atom

=====

Entry 19:
# PBE CaTaZn2, relaxed
data_CaTaZn2
_space_group_name_H-M_alt 'I -4 m 2'
_space_group_IT_number 119
_space_group_name_Hall 'I -4 -2'
_cell_length_a 4.002
_cell_length_b 4.002
_cell_length_c 9.716
_cell_angle_alpha 90.00
_cell_angle_beta 90.00
_cell_angle_gamma 90.00
loop_
_atom_site_label
_atom_site_fract_x
_atom_site_fract_y
_atom_site_fract_z
Ca1 0.000 0.000 0.000
Ta1 0.000 0.500 0.750
Zn1 0.000 0.000 0.500
Zn2 0.000 0.500 0.250
# **Volume**: 19.454 Å³ per atom

=====

Entry 20:
# PBE CaTaZn, relaxed
data_CaTaZn
_space_group_name_H-M_alt 'F -4 3 m'
_space_group_IT_number 216
_space_group_name_Hall 'F -4 2 3'
_cell_length_a 6.589
_cell_length_b 6.589
_cell_length_c 6.589
_cell_angle_alpha 90.00
_cell_angle_beta 90.00
_cell_angle_gamma 90.00
loop_
_atom_site_label
_atom_site_fract_x
_atom_site_fract_y
_atom_site_fract_z
Ca1 0.000 0.000 0.000
Ta1 0.000 0.000 0.500
Zn1 0.250 0.250 0.750
# **Energy above the lowest structure with this stoichiometry**: 0.596 eV per atom
# **Volume**: 23.839 Å³ per atom

=====

DFT formation energy, respectively: 0.769 0.590 0.571 2.091 0.932 0.480 0.424 0.679 1.457 0.769 0.283 0.327 0.442 0.626 0.920 0.263 0.293 2.580 0.420 0.922 eV per atom.